# 1
Tb2LuBe GGA-PBE relaxed; calculated formation energy = 0.67 eV/atom; E above lowest polymorph = 593 meV per atom
1.0
3.3954 0.0000 0.0000
-1.6977 2.9405 0.0000
0.0000 0.0000 34.0655
Tb Lu Be
6 3 3
direct
0.0000 0.0000 0.0851
0.0000 0.0000 0.9149
0.3333 0.6667 0.5816
0.3333 0.6667 0.7517
0.6667 0.3333 0.2483
0.6667 0.3333 0.4184
0.0000 0.0000 0.5000
0.3333 0.6667 0.1667
0.6667 0.3333 0.8333
0.0000 0.0000 0.0000
0.3333 0.6667 0.6667
0.6667 0.3333 0.3333


# 2
Ca2ScHg GGA-PBE relaxed; calculated formation energy = -0.03 eV/atom
1.0
7.6326 0.0000 0.0000
0.0000 7.6326 0.0000
0.0000 0.0000 7.6326
Ca Sc Hg
8 4 4
direct
0.0000 0.0000 0.0000
0.0000 0.5000 0.5000
0.2500 0.2500 0.2500
0.2500 0.7500 0.7500
0.5000 0.0000 0.5000
0.5000 0.5000 0.0000
0.7500 0.2500 0.7500
0.7500 0.7500 0.2500
0.0000 0.0000 0.5000
0.0000 0.5000 0.0000
0.5000 0.0000 0.0000
0.5000 0.5000 0.5000
0.2500 0.2500 0.7500
0.2500 0.7500 0.2500
0.7500 0.2500 0.2500
0.7500 0.7500 0.7500


# 3
YCoSi2Rh GGA-PBE relaxed; formation energy (no corrections) = 1.73 eV/atom; E above lowest polymorph = 2694 meV per atom
1.0
5.0878 0.0000 0.0000
0.0000 5.0878 0.0000
0.0000 0.0000 4.4952
Y Co Si Rh
1 1 2 1
direct
0.0000 0.0000 0.0000
0.0000 0.0000 0.5000
0.0000 0.5000 0.0000
0.5000 0.0000 0.0000
0.5000 0.5000 0.5000


# 4
MgTl2Fe GGA-PBE relaxed; calculated formation energy = 0.33 eV/atom; E above lowest polymorph = 5 meV per atom
1.0
3.1968 0.0000 0.0000
0.0000 3.1968 0.0000
0.0000 0.0000 8.7966
Mg Tl Fe
1 2 1
direct
0.0000 0.0000 0.0000
0.0000 0.0000 0.6028
0.5000 0.5000 0.2880
0.5000 0.5000 0.8155


> Number 2 is which compound?

Ca2ScHg


Please write out number 3 again, unchanged.
YCoSi2Rh GGA-PBE relaxed; formation energy (no corrections) = 1.73 eV/atom; E above lowest polymorph = 2694 meV per atom
1.0
5.0878 0.0000 0.0000
0.0000 5.0878 0.0000
0.0000 0.0000 4.4952
Y Co Si Rh
1 1 2 1
direct
0.0000 0.0000 0.0000
0.0000 0.0000 0.5000
0.0000 0.5000 0.0000
0.5000 0.0000 0.0000
0.5000 0.5000 0.5000